[1]
## V6Re5Ru (GGA-PBE)

Data for crystalline V6Re5Ru at its relaxed geometry.

POSCAR file:
```
V6Re5Ru
1.0
4.127 0.017 -1.204
-0.834 5.337 -2.779
-0.077 0.392 7.415
V Re Ru
6 5 1
direct
0.167 0.418 0.335
0.500 0.748 0.000
0.833 0.084 0.665
0.833 0.582 0.665
0.500 0.252 0.000
0.167 0.916 0.335
0.000 0.500 0.000
0.333 0.333 0.667
0.667 0.667 0.333
0.334 0.834 0.668
0.666 0.166 0.332
0.000 0.000 0.000
```

Results
Formation energy in eV per atom: -0.338
Symmetry: Immm

[2]
## Re4Mo9Rh11 (GGA-PBE)

Data for crystalline Re4Mo9Rh11 at its relaxed geometry.

POSCAR file:
```
Re4Mo9Rh11
1.0
-0.700 -0.666 2.561
5.996 -10.494 -1.092
6.291 9.495 4.189
Rh Mo Re
11 9 4
direct
0.000 0.000 0.000
0.000 0.597 0.969
0.000 0.811 0.189
0.000 0.381 0.619
0.000 0.220 0.220
0.000 0.619 0.381
0.000 0.031 0.403
0.000 0.969 0.597
0.000 0.780 0.780
0.000 0.189 0.811
0.000 0.403 0.031
0.500 0.609 0.177
0.500 0.500 0.500
0.500 0.177 0.609
0.500 0.986 0.796
0.500 0.796 0.986
0.500 0.014 0.204
0.500 0.823 0.391
0.500 0.391 0.823
0.500 0.204 0.014
0.500 0.416 0.232
0.500 0.232 0.416
0.500 0.768 0.584
0.500 0.584 0.768
```

Results
Formation energy in eV per atom: -0.066
Symmetry: Cmmm

[3]
## TcNi2Te (GGA-PBE)

Data for crystalline TcNi2Te at its relaxed geometry.

POSCAR file:
```
TcNi2Te
1.0
2.862 0.045 0.000
-0.044 2.862 0.000
0.000 0.000 7.501
Ni Te Tc
2 1 1
direct
0.000 0.000 0.471
0.000 0.000 0.029
0.500 0.500 0.750
0.500 0.500 0.250
```

Results
E_form (uncorrected) in eV/atom: 0.390
Symmetry: P4/mmm

[4]
## HoGeAs2 (GGA-PBE)

Data for crystalline HoGeAs2 at its relaxed geometry.

POSCAR file:
```
HoGeAs2
1.0
4.407 0.000 0.000
2.204 3.817 0.000
2.204 1.272 7.414
As Ge Ho
2 1 1
direct
0.105 0.105 0.685
0.895 0.895 0.315
0.000 0.000 0.000
0.500 0.500 0.500
```

Results
Formation energy in eV per atom: -0.147
Symmetry: R-3m

[5]
## CePm2Au (GGA-PBE)

Data for crystalline CePm2Au at its relaxed geometry.

POSCAR file:
```
CePm2Au
1.0
-2.625 -2.199 -1.048
2.817 -1.199 -4.539
2.436 -4.152 2.608
Pm Ce Au
2 1 1
direct
0.000 0.500 0.000
0.000 0.000 0.500
0.500 0.500 0.500
0.500 0.000 0.000
```

Results
Formation energy in eV per atom: -0.229
Distance to the lowest polymorph of the same formula in eV/atom: 0.102
Symmetry: P4/mmm

[6]
## Pr3SbP (GGA-PBE)

Data for crystalline Pr3SbP at its relaxed geometry.

POSCAR file:
```
Pr3SbP
1.0
-3.363 -2.315 1.435
4.357 -7.360 -1.663
6.072 0.278 14.676
Pr P Sb
12 4 4
direct
0.250 0.484 0.106
0.750 0.516 0.894
0.250 0.845 0.967
0.250 0.984 0.394
0.750 0.655 0.467
0.750 0.328 0.290
0.750 0.155 0.033
0.750 0.016 0.606
0.250 0.345 0.533
0.250 0.672 0.710
0.250 0.172 0.790
0.750 0.828 0.210
0.250 0.313 0.949
0.750 0.687 0.051
0.750 0.187 0.449
0.250 0.813 0.551
0.250 0.614 0.309
0.750 0.886 0.809
0.250 0.114 0.191
0.750 0.386 0.691
```

Results
E_form (uncorrected) in eV/atom: -1.118
Symmetry: Pnma

[7]
## RbCoSCl2 (GGA-PBE)

Data for crystalline RbCoSCl2 at its relaxed geometry.

POSCAR file:
```
RbCoSCl2
1.0
-1.123 -2.001 5.496
-0.504 -5.543 -2.121
5.764 -0.856 0.867
S Cl Rb Co
1 2 1 1
direct
0.000 0.000 0.500
0.000 0.500 0.000
0.500 0.000 0.000
0.000 0.000 0.000
0.500 0.500 0.500
```

Results
E_form (uncorrected) in eV/atom: 0.852
Distance to the lowest polymorph of the same formula in eV/atom: 1.600
Symmetry: P4/mmm

[8]
## Y5TmAl3 (GGA-PBE)

Data for crystalline Y5TmAl3 at its relaxed geometry.

POSCAR file:
```
Y5TmAl3
1.0
-5.738 -0.482 -3.301
-2.626 -6.699 5.541
-1.921 8.629 2.079
Tm Al Y
2 6 10
direct
0.000 0.000 0.000
0.500 0.000 0.000
0.250 0.666 0.666
0.750 0.000 0.666
0.250 0.334 0.000
0.750 0.666 0.000
0.250 0.000 0.334
0.750 0.334 0.334
0.250 0.000 0.669
0.000 0.667 0.333
0.750 0.000 0.331
0.750 0.331 0.000
0.250 0.331 0.331
0.500 0.333 0.667
0.750 0.669 0.669
0.500 0.667 0.333
0.250 0.669 0.000
0.000 0.333 0.667
```

Results
Formation energy in eV per atom: -0.295
Symmetry: P6_3/mcm